An optimized crystal structure of Tb2ErFe2B2N3. Source: OQMD via LeMat-Bulk, functional GGA-PBE.

Values from the calculation:
final energy: -80.511 eV/f.u.

abc: 10.4501 10.4501 10.4501
angles: 161.01 161.01 26.99
Element x y z (fractional)
Er: 0.0000 0.0000 0.0000
Tb: 0.3782 0.3782 0.0000
Fe: 0.2500 0.7500 0.5000
B: 0.1872 0.1872 0.0000
N: 0.8859 0.8859 0.0000
N: 0.1141 0.1141 0.0000
Fe: 0.7500 0.2500 0.5000
B: 0.8128 0.8128 0.0000
Tb: 0.6218 0.6218 0.0000
N: 0.5000 0.5000 0.0000

***

An optimized crystal structure of ErTmFe2B2N2. Source: OQMD via LeMat-Bulk, functional GGA-PBE.

Values from the calculation:
final energy: -64.194 eV/f.u.

abc: 3.4082 3.4082 7.6720
angles: 90.00 90.00 90.00
Element x y z (fractional)
N: 0.0000 0.0000 0.1398
Tm: 0.5000 0.5000 0.1638
N: 0.5000 0.5000 0.8608
Fe: 0.0000 0.5000 0.4998
B: 0.5000 0.5000 0.6660
B: 0.0000 0.0000 0.3342
Fe: 0.5000 0.0000 0.4998
Er: 0.0000 0.0000 0.8357

***

An optimized crystal structure of Y2ErFe2B2N3. Source: OQMD via LeMat-Bulk, functional GGA-PBE.

Values from the calculation:
final energy: -84.209 eV/f.u.

abc: 10.4457 10.4457 10.4457
angles: 161.05 161.05 26.92
Element x y z (fractional)
N: 0.5000 0.5000 0.0000
Fe: 0.7500 0.2500 0.5000
Fe: 0.2500 0.7500 0.5000
B: 0.1873 0.1873 0.0000
Y: 0.3785 0.3785 0.0000
N: 0.8859 0.8859 0.0000
N: 0.1141 0.1141 0.0000
Y: 0.6215 0.6215 0.0000
Er: 0.0000 0.0000 0.0000
B: 0.8127 0.8127 0.0000

***

An optimized crystal structure of ErFe3NiB. Source: OQMD via LeMat-Bulk, functional GGA-PBE.

Values from the calculation:
final energy: -43.422 eV/f.u.

abc: 4.9840 4.9840 7.0589
angles: 90.00 90.00 120.00
Element x y z (fractional)
Ni: 0.3333 0.6667 0.0000
Er: 0.0000 0.0000 0.5000
B: 0.3333 0.6667 0.5000
Fe: 0.0000 0.5000 0.2863
Ni: 0.6667 0.3333 0.0000
Fe: 0.0000 0.5000 0.7137
B: 0.6667 0.3333 0.5000
Fe: 0.5000 0.5000 0.7137
Fe: 0.5000 0.5000 0.2863
Er: 0.0000 0.0000 0.0000
Fe: 0.5000 0.0000 0.2863
Fe: 0.5000 0.0000 0.7137

***

An optimized crystal structure of SmErFe2Ni6B2. Source: OQMD via LeMat-Bulk, functional GGA-PBE.

Values from the calculation:
final energy: -77.037 eV/f.u.
E above lowest polymorph: 0.018 eV per atom

abc: 5.0327 5.0327 7.0113
angles: 90.00 90.00 120.00
Element x y z (fractional)
Fe: 0.3333 0.6667 0.0000
Sm: 0.0000 0.0000 0.5000
B: 0.6667 0.3333 0.5000
Ni: 0.5000 0.5000 0.7086
Ni: 0.5000 0.0000 0.2914
Er: 0.0000 0.0000 0.0000
Ni: 0.0000 0.5000 0.7086
Ni: 0.0000 0.5000 0.2914
Ni: 0.5000 0.5000 0.2914
Fe: 0.6667 0.3333 0.0000
Ni: 0.5000 0.0000 0.7086
B: 0.3333 0.6667 0.5000

***

An optimized crystal structure of SmErFe6Ni2B2. Source: OQMD via LeMat-Bulk, functional GGA-PBE.

Values from the calculation:
final energy: -86.444 eV/f.u.
E above lowest polymorph: 0.022 eV per atom

abc: 5.0254 5.0254 7.0803
angles: 90.00 90.00 120.00
Element x y z (fractional)
Sm: 0.0000 0.0000 0.5000
Fe: 0.0000 0.5000 0.2847
Fe: 0.5000 0.5000 0.2847
B: 0.6667 0.3333 0.5000
B: 0.3333 0.6667 0.5000
Er: 0.0000 0.0000 0.0000
Fe: 0.5000 0.0000 0.7153
Fe: 0.5000 0.0000 0.2847
Ni: 0.3333 0.6667 0.0000
Fe: 0.0000 0.5000 0.7153
Fe: 0.5000 0.5000 0.7153
Ni: 0.6667 0.3333 0.0000

***

An optimized crystal structure of SmErFe2Ni6B2. Source: OQMD via LeMat-Bulk, functional GGA-PBE.

Values from the calculation:
final energy: -77.257 eV/f.u.
E above lowest polymorph: 0.000 eV per atom

abc: 5.0259 5.0259 7.0101
angles: 90.00 90.00 120.00
Element x y z (fractional)
Ni: 0.0000 0.5000 0.2956
B: 0.6667 0.3333 0.5000
Ni: 0.5000 0.0000 0.7044
Ni: 0.0000 0.5000 0.7044
Sm: 0.0000 0.0000 0.0000
Ni: 0.5000 0.5000 0.2956
B: 0.3333 0.6667 0.5000
Er: 0.0000 0.0000 0.5000
Fe: 0.6667 0.3333 0.0000
Ni: 0.5000 0.0000 0.2956
Fe: 0.3333 0.6667 0.0000
Ni: 0.5000 0.5000 0.7044

***

An optimized crystal structure of SmErFe6Ni2B2. Source: OQMD via LeMat-Bulk, functional GGA-PBE.

Values from the calculation:
final energy: -86.713 eV/f.u.
E above lowest polymorph: 0.000 eV per atom

abc: 5.0279 5.0279 7.0483
angles: 90.00 90.00 120.00
Element x y z (fractional)
Fe: 0.0000 0.5000 0.7116
B: 0.6667 0.3333 0.5000
Er: 0.0000 0.0000 0.5000
Ni: 0.6667 0.3333 0.0000
Fe: 0.5000 0.0000 0.2884
Fe: 0.5000 0.5000 0.2884
Ni: 0.3333 0.6667 0.0000
B: 0.3333 0.6667 0.5000
Fe: 0.0000 0.5000 0.2884
Sm: 0.0000 0.0000 0.0000
Fe: 0.5000 0.0000 0.7116
Fe: 0.5000 0.5000 0.7116

***

An optimized crystal structure of SmErFe8B2. Source: OQMD via LeMat-Bulk, functional GGA-PBE.

Values from the calculation:
final energy: -91.600 eV/f.u.
E above lowest polymorph: 0.013 eV per atom

abc: 5.0757 5.0757 7.0281
angles: 90.00 90.00 120.00
Element x y z (fractional)
Fe: 0.0000 0.5000 0.7155
B: 0.3333 0.6667 0.5000
Fe: 0.5000 0.5000 0.2845
Fe: 0.6667 0.3333 0.0000
Fe: 0.5000 0.0000 0.7155
Fe: 0.5000 0.0000 0.2845
Fe: 0.0000 0.5000 0.2845
Fe: 0.3333 0.6667 0.0000
Er: 0.0000 0.0000 0.0000
Sm: 0.0000 0.0000 0.5000
Fe: 0.5000 0.5000 0.7155
B: 0.6667 0.3333 0.5000

***

An optimized crystal structure of SmErFe8B2. Source: OQMD via LeMat-Bulk, functional GGA-PBE.

Values from the calculation:
final energy: -91.758 eV/f.u.
E above lowest polymorph: 0.000 eV per atom

abc: 5.0718 5.0718 7.0311
angles: 90.00 90.00 120.00
Element x y z (fractional)
Fe: 0.5000 0.0000 0.7117
Fe: 0.3333 0.6667 0.0000
Fe: 0.6667 0.3333 0.0000
Sm: 0.0000 0.0000 0.0000
Fe: 0.0000 0.5000 0.2883
Fe: 0.0000 0.5000 0.7117
B: 0.3333 0.6667 0.5000
Er: 0.0000 0.0000 0.5000
B: 0.6667 0.3333 0.5000
Fe: 0.5000 0.5000 0.7117
Fe: 0.5000 0.5000 0.2883
Fe: 0.5000 0.0000 0.2883

***

An optimized crystal structure of YErFe8B2. Source: OQMD via LeMat-Bulk, functional GGA-PBE.

Values from the calculation:
final energy: -93.699 eV/f.u.
E above lowest polymorph: 0.007 eV per atom

abc: 5.0506 5.0506 7.0275
angles: 90.00 90.00 120.00
Element x y z (fractional)
B: 0.6667 0.3333 0.5000
Fe: 0.5000 0.0000 0.2855
Fe: 0.5000 0.5000 0.2855
Y: 0.0000 0.0000 0.5000
Fe: 0.0000 0.5000 0.7145
Fe: 0.6667 0.3333 0.0000
Fe: 0.3333 0.6667 0.0000
Fe: 0.5000 0.5000 0.7145
Fe: 0.0000 0.5000 0.2855
Fe: 0.5000 0.0000 0.7145
Er: 0.0000 0.0000 0.0000
B: 0.3333 0.6667 0.5000

***

An optimized crystal structure of YErFe8B2. Source: OQMD via LeMat-Bulk, functional GGA-PBE.

Values from the calculation:
final energy: -93.779 eV/f.u.
E above lowest polymorph: 0.000 eV per atom

abc: 5.0454 5.0454 7.0280
angles: 90.00 90.00 120.00
Element x y z (fractional)
Y: 0.0000 0.0000 0.0000
Fe: 0.5000 0.5000 0.7139
B: 0.3333 0.6667 0.5000
Fe: 0.5000 0.0000 0.7139
Fe: 0.5000 0.0000 0.2861
Er: 0.0000 0.0000 0.5000
Fe: 0.5000 0.5000 0.2861
Fe: 0.3333 0.6667 0.0000
Fe: 0.0000 0.5000 0.7139
Fe: 0.0000 0.5000 0.2861
B: 0.6667 0.3333 0.5000
Fe: 0.6667 0.3333 0.0000